An optimized crystal structure of LaVO2F, computed with GGA+U.

Unit cell a=4.642 b=4.642 c=4.536 alpha=90.00 beta=90.00 gamma=90.00
Element x y z (fractional)
F: 0.000 0.000 0.500
V: 0.500 0.500 0.500
O: 0.000 0.500 0.000
O: 0.500 0.000 0.000
La: 0.000 0.000 0.000

Symmetry   No. 123
E   -6.54 eV per atom
Calculated volume   97.8 Å³ per cell